## PaTaTc2 (PBE)

Data for a geometry-optimized PaTaTc2 structure.

Output
**Calculated volume**: 74.89 Å³/f.u.
**Calculated formation energy**: 623 meV/atom
**VASP energy**: -39.6 eV/cell
**E above lowest polymorph**: 0.884 eV per atom
**Magnetic moment**: 0.00 μB per formula unit

CIF file:
```
data_PaTaTc2
_chemical_formula_sum 'Pa1 Ta1 Tc2'
_symmetry_space_group_name_H-M 'P 1'
_symmetry_Int_Tables_number 1
_cell_length_a 2.949
_cell_length_b 2.949
_cell_length_c 10.088
_cell_angle_alpha 81.60
_cell_angle_beta 81.60
_cell_angle_gamma 60.00
loop_
_symmetry_equiv_pos_as_xyz
'x,y,z'
loop_
_atom_site_label
_atom_site_type_symbol
_atom_site_fract_x
_atom_site_fract_y
_atom_site_fract_z
_atom_site_occupancy
Tc1 Tc 0.918 0.918 0.246 1
Tc2 Tc 0.082 0.082 0.754 1
Pa1 Pa 0.500 0.500 0.500 1
Ta1 Ta 0.000 0.000 0.000 1
```



## PaTaTc2 (PBE)

Data for a geometry-optimized PaTaTc2 structure.

Output
**Calculated volume**: 72.79 Å³/f.u.
**Calculated formation energy**: -225 meV/atom
**VASP energy**: -43.0 eV/cell
**E above lowest polymorph**: 0.035 eV per atom
**Magnetic moment**: 0.00 μB per formula unit

CIF file:
```
data_PaTaTc2
_chemical_formula_sum 'Pa1 Ta1 Tc2'
_symmetry_space_group_name_H-M 'P 1'
_symmetry_Int_Tables_number 1
_cell_length_a 4.687
_cell_length_b 4.687
_cell_length_c 4.687
_cell_angle_alpha 60.00
_cell_angle_beta 60.00
_cell_angle_gamma 60.00
loop_
_symmetry_equiv_pos_as_xyz
'x,y,z'
loop_
_atom_site_label
_atom_site_type_symbol
_atom_site_fract_x
_atom_site_fract_y
_atom_site_fract_z
_atom_site_occupancy
Ta1 Ta 0.500 0.500 0.500 1
Tc1 Tc 0.750 0.750 0.750 1
Tc2 Tc 0.250 0.250 0.250 1
Pa1 Pa 0.000 0.000 0.000 1
```



## PaTaVTc (PBE)

Data for a geometry-optimized PaTaVTc structure.

Output
**Calculated volume**: 71.04 Å³/f.u.
**Calculated formation energy**: -76 meV/atom
**VASP energy**: -41.1 eV/cell
**Magnetic moment**: 0.00 μB per formula unit

CIF file:
```
data_PaTaVTc
_chemical_formula_sum 'Pa1 Ta1 V1 Tc1'
_symmetry_space_group_name_H-M 'P 1'
_symmetry_Int_Tables_number 1
_cell_length_a 4.649
_cell_length_b 4.649
_cell_length_c 4.649
_cell_angle_alpha 60.00
_cell_angle_beta 60.00
_cell_angle_gamma 60.00
loop_
_symmetry_equiv_pos_as_xyz
'x,y,z'
loop_
_atom_site_label
_atom_site_type_symbol
_atom_site_fract_x
_atom_site_fract_y
_atom_site_fract_z
_atom_site_occupancy
Ta1 Ta 0.750 0.750 0.750 1
Tc1 Tc 0.500 0.500 0.500 1
V1 V 0.000 0.000 0.000 1
Pa1 Pa 0.250 0.250 0.250 1
```